(1)
The following is a DFT calculation (PBE) of HfRuIO2 after structural relaxation.

Results
total DFT energy (no corrections) = -35.5 eV for the cell shown
symmetry = P4/mmm, No. 123
ΔE_f (raw) = -966 meV/atom
magnetization = 2.33 μB per formula unit

Structure (CIF):
```
data_HfRuIO2
_space_group_name_H-M_alt 'P 1'
_space_group_IT_number 1
_cell_length_a 4.0024
_cell_length_b 4.0024
_cell_length_c 6.2346
_cell_angle_alpha 90.00
_cell_angle_beta 90.00
_cell_angle_gamma 90.00
loop_
_space_group_symop_operation_xyz
'x,y,z'
loop_
_atom_site_label
_atom_site_fract_x
_atom_site_fract_y
_atom_site_fract_z
Hf1 0.0000 0.0000 0.0000
Ru1 0.5000 0.5000 0.5000
I1 0.0000 0.0000 0.5000
O1 0.0000 0.5000 0.0000
O2 0.5000 0.0000 0.0000
```



(2)
The following is a DFT calculation (PBE) of HfRuIO2 after structural relaxation.

Results
total DFT energy (no corrections) = -29.9 eV for the cell shown
symmetry = P4/mmm, No. 123
ΔE_f (raw) = 154 meV/atom
magnetization = 1.97 μB per formula unit

Structure (CIF):
```
data_HfRuIO2
_space_group_name_H-M_alt 'P 1'
_space_group_IT_number 1
_cell_length_a 4.0286
_cell_length_b 4.0286
_cell_length_c 5.3151
_cell_angle_alpha 90.00
_cell_angle_beta 90.00
_cell_angle_gamma 90.00
loop_
_space_group_symop_operation_xyz
'x,y,z'
loop_
_atom_site_label
_atom_site_fract_x
_atom_site_fract_y
_atom_site_fract_z
Hf1 0.0000 0.0000 0.0000
Ru1 0.5000 0.5000 0.5000
I1 0.5000 0.5000 0.0000
O1 0.0000 0.5000 0.5000
O2 0.5000 0.0000 0.5000
```